Th2ZnNi12P3 | PBE | optimized geometry

Its symmetry is R-3m, No. 166. Its formation energy is -2.5 eV per formula unit. For the uncorrected energy, the calculation gives -5.79 eV per atom. For the density of states at the Fermi level, the calculation gives 11.60 states/eV per cell.

The structure in POSCAR format:
```
Th2ZnNi12P3
1.0
7.0763 -0.2931 -0.2079
3.2398 6.2980 -0.2079
3.2398 1.8858 6.0126
Ni P Th Zn
12 3 2 1
Direct
0.1294 0.6236 0.1294
0.1045 0.6562 0.6562
0.3438 0.3438 0.8955
0.3764 0.8706 0.8706
0.6562 0.1045 0.6562
0.6562 0.6562 0.1045
0.6236 0.1294 0.1294
0.8706 0.3764 0.8706
0.8955 0.3438 0.3438
0.1294 0.1294 0.6236
0.8706 0.8706 0.3764
0.3438 0.8955 0.3438
0.0000 0.0000 0.5000
0.0000 0.5000 0.0000
0.5000 0.0000 0.0000
0.3841 0.3841 0.3841
0.6159 0.6159 0.6159
0.0000 0.0000 0.0000
```

ThZrNi2P2 | PBE | optimized geometry

Its symmetry is P-3m1, No. 164. Its formation energy is -6.9 eV per formula unit. For the uncorrected energy, the calculation gives -7.55 eV per atom. For the density of states at the Fermi level, the calculation gives 6.03 states/eV per cell.

The structure in POSCAR format:
```
ThZrNi2P2
1.0
-3.7675 0.5660 0.6760
1.1238 -2.6163 -2.6198
0.1699 -5.4156 5.4814
P Ni Th Zr
2 2 1 1
Direct
0.6667 0.3333 0.7309
0.3333 0.6667 0.2691
0.6667 0.3333 0.2700
0.3333 0.6667 0.7300
0.0000 0.0000 0.0000
0.0000 0.0000 0.5000
```

TiNiP | PBE | optimized geometry

Its symmetry is P4/nmm, No. 129. Its formation energy is -3.0 eV per formula unit. For the uncorrected energy, the calculation gives -7.37 eV per atom. For the density of states at the Fermi level, the calculation gives 5.06 states/eV per cell.

The structure in POSCAR format:
```
TiNiP
1.0
3.5068 0.0000 0.0000
0.0000 3.5068 0.0000
0.0000 0.0000 6.2009
Ti Ni P
2 2 2
Direct
0.5000 0.0000 0.3543
0.0000 0.5000 0.6457
0.5000 0.5000 0.0000
0.0000 0.0000 0.0000
0.5000 0.0000 0.7592
0.0000 0.5000 0.2408
```

Ti2NiP5 | PBE | optimized geometry

Its symmetry is Pnma, No. 62. Its formation energy is -6.0 eV per formula unit. For the uncorrected energy, the calculation gives -6.83 eV per atom. For the density of states at the Fermi level, the calculation gives 7.64 states/eV per cell.

The structure in POSCAR format:
```
Ti2NiP5
1.0
-0.0095 3.0038 1.4478
-10.6167 -1.5022 3.0466
3.7931 -5.1379 10.6846
P Ti Ni
20 8 4
Direct
0.2500 0.2833 0.3873
0.2500 0.9373 0.5181
0.7500 0.0627 0.4819
0.2500 0.0727 0.2294
0.7500 0.6762 0.8738
0.2500 0.5674 0.5359
0.7500 0.9326 0.0359
0.7500 0.5627 0.0181
0.2500 0.4373 0.9819
0.7500 0.4326 0.4641
0.7500 0.9273 0.7706
0.7500 0.2167 0.8873
0.2500 0.5727 0.2706
0.7500 0.1762 0.6262
0.2500 0.3238 0.1262
0.7500 0.4273 0.7294
0.7500 0.7167 0.6127
0.2500 0.7833 0.1127
0.2500 0.8238 0.3738
0.2500 0.0674 0.9641
0.2500 0.0964 0.7659
0.2500 0.3438 0.5985
0.2500 0.8438 0.9015
0.7500 0.9036 0.2341
0.7500 0.6562 0.4015
0.7500 0.4036 0.2659
0.7500 0.1562 0.0985
0.2500 0.5964 0.7341
0.7500 0.1544 0.3279
0.7500 0.6544 0.1721
0.2500 0.8456 0.6721
0.2500 0.3456 0.8279
```

TiNi3P | PBE | optimized geometry

Its symmetry is Pm-3m, No. 221. For the energy above the most stable polymorph in this dataset, the calculation gives 0.0 meV per atom. Its formation energy is -0.3 eV per formula unit. For the uncorrected energy, the calculation gives -6.18 eV per atom. For the density of states at the Fermi level, the calculation gives 6.86 states/eV per cell.

The structure in POSCAR format:
```
TiNi3P
1.0
4.1291 0.0000 0.0000
0.0000 4.1291 0.0000
0.0000 0.0000 4.1291
Ti Ni P
1 3 1
Direct
0.5000 0.5000 0.5000
0.5000 0.0000 0.0000
0.0000 0.5000 0.0000
0.0000 0.0000 0.5000
0.0000 0.0000 0.0000
```

Ti2NiP | PBE | optimized geometry

Its symmetry is R3m, No. 160. Its formation energy is -2.1 eV per formula unit. For the uncorrected energy, the calculation gives -7.26 eV per atom. For the density of states at the Fermi level, the calculation gives 3.11 states/eV per cell.

The structure in POSCAR format:
```
Ti2NiP
1.0
-2.4773 -2.5593 1.1261
-0.3914 -3.1876 -1.9080
2.4768 -4.0079 2.5325
P Ti Ni
1 2 1
Direct
0.4898 0.2527 0.7678
0.6984 0.4612 0.1422
0.9098 0.6727 0.5074
0.1123 0.8753 0.9000
```

Ti3NiP2 | PBE | optimized geometry

Its symmetry is Pnma, No. 62. Its formation energy is -6.0 eV per formula unit. For the uncorrected energy, the calculation gives -7.71 eV per atom. For the density of states at the Fermi level, the calculation gives 19.18 states/eV per cell.

The structure in POSCAR format:
```
Ti3NiP2
1.0
-0.9576 0.3333 -3.4080
-4.9134 -8.1971 0.5790
-8.1187 5.0625 2.7764
Ti P Ni
12 8 4
Direct
0.2500 0.0728 0.8737
0.7500 0.6182 0.9559
0.2500 0.1182 0.5441
0.2500 0.7013 0.2056
0.7500 0.5728 0.6263
0.7500 0.8818 0.4559
0.7500 0.9272 0.1263
0.7500 0.2013 0.2944
0.2500 0.4272 0.3737
0.2500 0.3818 0.0441
0.7500 0.2987 0.7944
0.2500 0.7987 0.7056
0.2500 0.5070 0.8120
0.7500 0.1888 0.0205
0.7500 0.4930 0.1880
0.7500 0.3112 0.5205
0.7500 0.0070 0.6880
0.2500 0.9930 0.3120
0.2500 0.6888 0.4795
0.2500 0.8112 0.9795
0.7500 0.8745 0.8682
0.2500 0.1255 0.1318
0.2500 0.3745 0.6318
0.7500 0.6255 0.3682
```

TiNi2P2 | PBE | optimized geometry

Its symmetry is P4/mbm, No. 127. Its formation energy is -2.5 eV per formula unit. For the uncorrected energy, the calculation gives -6.55 eV per atom. For the density of states at the Fermi level, the calculation gives 3.88 states/eV per cell.

The structure in POSCAR format:
```
TiNi2P2
1.0
-5.5620 -3.3643 -1.6246
3.6855 -4.4632 -3.3750
0.2521 -1.5213 2.2872
Ni P Ti
4 4 2
Direct
0.8623 0.3623 0.5000
0.3623 0.1377 0.5000
0.6377 0.8623 0.5000
0.1377 0.6377 0.5000
0.3420 0.8420 0.0000
0.6580 0.1580 0.0000
0.1580 0.3420 0.0000
0.8420 0.6580 0.0000
0.0000 0.0000 0.0000
0.5000 0.5000 0.0000
```

Ti4Ni2P | PBE | optimized geometry

Its symmetry is I4/mmm, No. 139. Its formation energy is -0.6 eV per formula unit. For the uncorrected energy, the calculation gives -7.02 eV per atom. For the density of states at the Fermi level, the calculation gives 7.38 states/eV per cell.

The structure in POSCAR format:
```
Ti4Ni2P
1.0
-2.6100 0.3326 3.6184
1.7260 -3.8069 1.5950
3.8379 1.3767 5.4075
P Ti Ni
1 4 2
Direct
0.0000 0.0000 0.0000
0.5000 0.0000 0.0000
0.0000 0.5000 0.0000
0.1981 0.1981 0.6037
0.8019 0.8019 0.3963
0.6139 0.6139 0.7722
0.3861 0.3861 0.2278
```

TiNi3P | PBE | optimized geometry

Its symmetry is Pm-3m, No. 221. For the energy above the most stable polymorph in this dataset, the calculation gives 1158.8 meV per atom. Its formation energy is 5.5 eV per formula unit. For the uncorrected energy, the calculation gives -5.02 eV per atom. For the density of states at the Fermi level, the calculation gives 2.93 states/eV per cell.

The structure in POSCAR format:
```
TiNi3P
1.0
-0.1569 -4.1915 -1.0402
-0.0373 -1.0395 4.1945
-4.3185 0.1613 0.0016
Ni Ti P
3 1 1
Direct
0.5000 0.0000 0.0000
0.0000 0.5000 0.0000
0.0000 0.0000 0.5000
0.0000 0.0000 0.0000
0.5000 0.5000 0.5000
```

Ti2NiP | PBE | optimized geometry

Its symmetry is I-42d, No. 122. Its formation energy is -1.5 eV per formula unit. For the uncorrected energy, the calculation gives -7.11 eV per atom. For the density of states at the Fermi level, the calculation gives 8.32 states/eV per cell.

The structure in POSCAR format:
```
Ti2NiP
1.0
-4.3076 4.2391 -2.7861
-3.6919 -5.1265 -2.0920
-5.3848 -0.3675 -0.1816
P Ti Ni
2 4 2
Direct
0.5000 0.5000 0.0000
0.2500 0.7500 0.5000
0.3750 0.3709 0.7500
0.8750 0.8791 0.7500
0.1209 0.6250 0.2500
0.6291 0.1250 0.2500
0.0000 0.0000 0.0000
0.7500 0.2500 0.5000
```

Ti4Ni5P6 | PBE | optimized geometry

Its symmetry is Cmc2_1, No. 36. Its formation energy is -13.5 eV per formula unit. For the uncorrected energy, the calculation gives -7.09 eV per atom. For the density of states at the Fermi level, the calculation gives 11.70 states/eV per cell.

The structure in POSCAR format:
```
Ti4Ni5P6
1.0
-0.1357 1.7367 -3.1152
-8.3126 -1.8156 1.3944
-1.4079 11.3549 6.3915
P Ni Ti
12 10 8
Direct
0.8791 0.7582 0.6111
0.5594 0.1189 0.3488
0.4406 0.8811 0.8488
0.5761 0.1521 0.9128
0.2174 0.4349 0.4868
0.1209 0.2418 0.1111
0.7826 0.5651 0.9868
0.4330 0.8661 0.1342
0.4239 0.8479 0.4128
0.7712 0.5424 0.2584
0.5670 0.1339 0.6342
0.2288 0.4576 0.7584
0.6383 0.2766 0.4771
0.5596 0.1193 0.1789
0.2997 0.5995 0.6183
0.4404 0.8807 0.6789
0.1440 0.2880 0.6253
0.7003 0.4005 0.1183
0.6540 0.3079 0.7775
0.8560 0.7120 0.1253
0.3617 0.7234 0.9771
0.3460 0.6921 0.2775
0.0320 0.0640 0.7755
0.1863 0.3727 0.9405
0.0044 0.0088 0.5079
0.9956 0.9912 0.0079
0.8137 0.6273 0.4405
0.9680 0.9360 0.2755
0.8297 0.6593 0.8024
0.1703 0.3407 0.3024
```

TiNiP | PBE | optimized geometry

Its symmetry is I4/mmm, No. 139. Its formation energy is -3.0 eV per formula unit. For the uncorrected energy, the calculation gives -7.36 eV per atom. For the density of states at the Fermi level, the calculation gives 7.71 states/eV per cell.

The structure in POSCAR format:
```
TiNiP
1.0
3.5042 0.0000 0.0000
0.0000 3.5042 0.0000
0.0000 0.0000 12.4163
Ni Ti P
4 4 4
Direct
0.5000 0.0000 0.0000
0.5000 0.0000 0.5000
0.0000 0.5000 0.0000
0.0000 0.5000 0.5000
0.0000 0.0000 0.6735
0.0000 0.0000 0.3265
0.5000 0.5000 0.8265
0.5000 0.5000 0.1735
0.5000 0.5000 0.3742
0.0000 0.0000 0.8742
0.5000 0.5000 0.6258
0.0000 0.0000 0.1258
```

Ti2Ni2P | PBE | optimized geometry

Its symmetry is P4/mbm, No. 127. Its formation energy is -2.7 eV per formula unit. For the uncorrected energy, the calculation gives -7.08 eV per atom. For the density of states at the Fermi level, the calculation gives 7.36 states/eV per cell.

The structure in POSCAR format:
```
Ti2Ni2P
1.0
5.9354 0.0000 0.0000
0.0000 5.9354 0.0000
0.0000 0.0000 3.7985
P Ti Ni
2 4 4
Direct
0.0000 0.0000 0.0000
0.5000 0.5000 0.0000
0.3313 0.1687 0.5000
0.8313 0.3313 0.5000
0.1687 0.6687 0.5000
0.6687 0.8313 0.5000
0.8576 0.6424 0.0000
0.3576 0.8576 0.0000
0.6424 0.1424 0.0000
0.1424 0.3576 0.0000
```

Ti2Ni21P6 | PBE | optimized geometry

Its symmetry is Fm-3m, No. 225. Its formation energy is -13.1 eV per formula unit. For the uncorrected energy, the calculation gives -6.30 eV per atom. For the density of states at the Fermi level, the calculation gives 9.09 states/eV per cell.

The structure in POSCAR format:
```
Ti2Ni21P6
1.0
6.7572 0.0000 3.9013
2.2524 6.3708 3.9013
0.0000 0.0000 7.8026
Ni P Ti
21 6 2
Direct
0.6502 0.3498 0.0000
0.1448 0.6184 0.6184
0.3498 0.0000 0.0000
0.0000 0.0000 0.0000
0.6184 0.1448 0.6184
0.8552 0.3816 0.3816
0.3816 0.3816 0.8552
0.3816 0.8552 0.3816
0.3498 0.6502 0.0000
0.6502 0.0000 0.0000
0.3498 0.0000 0.6502
0.0000 0.6502 0.0000
0.6184 0.6184 0.6184
0.3816 0.3816 0.3816
0.0000 0.3498 0.0000
0.6502 0.0000 0.3498
0.0000 0.6502 0.3498
0.0000 0.0000 0.3498
0.0000 0.3498 0.6502
0.6184 0.6184 0.1448
0.0000 0.0000 0.6502
0.2611 0.7389 0.2611
0.2611 0.7389 0.7389
0.2611 0.2611 0.7389
0.7389 0.2611 0.2611
0.7389 0.2611 0.7389
0.7389 0.7389 0.2611
0.2500 0.2500 0.2500
0.7500 0.7500 0.7500
```

Ti3NiP3 | PBE | optimized geometry

Its symmetry is Pnma, No. 62. Its formation energy is -7.5 eV per formula unit. For the uncorrected energy, the calculation gives -7.60 eV per atom. For the density of states at the Fermi level, the calculation gives 19.84 states/eV per cell.

The structure in POSCAR format:
```
Ti3NiP3
1.0
-3.5432 -0.2640 -0.0631
0.7220 -8.2973 -5.8266
0.3137 -6.3942 9.1445
P Ni Ti
12 4 12
Direct
0.2500 0.7671 0.6214
0.7500 0.7329 0.1214
0.7500 0.2329 0.3786
0.2500 0.0555 0.1463
0.2500 0.1222 0.5970
0.7500 0.3778 0.0970
0.2500 0.6222 0.9030
0.7500 0.8778 0.4030
0.2500 0.2671 0.8786
0.7500 0.9445 0.8537
0.7500 0.4445 0.6463
0.2500 0.5555 0.3537
0.2500 0.0585 0.8088
0.7500 0.9415 0.1912
0.2500 0.5585 0.6912
0.7500 0.4415 0.3088
0.2500 0.7775 0.2790
0.2500 0.0556 0.3810
0.2500 0.2775 0.2210
0.7500 0.4444 0.8810
0.7500 0.1442 0.0006
0.2500 0.5556 0.1190
0.7500 0.7225 0.7790
0.2500 0.8558 0.9994
0.7500 0.2225 0.7210
0.7500 0.6442 0.4994
0.7500 0.9444 0.6190
0.2500 0.3558 0.5006
```

Ti3NiP | PBE | optimized geometry

Its symmetry is Pm-3m, No. 221. For the energy above the most stable polymorph in this dataset, the calculation gives 0.0 meV per atom. Its formation energy is 0.0 eV per formula unit. For the uncorrected energy, the calculation gives -6.98 eV per atom. For the density of states at the Fermi level, the calculation gives 4.27 states/eV per cell.

The structure in POSCAR format:
```
Ti3NiP
1.0
-2.2879 -0.8773 3.7474
-3.3242 -1.7467 -2.4384
1.9397 -4.0282 0.2412
Ti Ni P
3 1 1
Direct
0.0000 0.5000 0.0000
0.0000 0.0000 0.5000
0.5000 0.0000 0.0000
0.5000 0.5000 0.5000
0.0000 0.0000 0.0000
```

TiNiP | PBE | optimized geometry

Its symmetry is P2_1/m, No. 11. Its formation energy is -3.1 eV per formula unit. For the uncorrected energy, the calculation gives -7.41 eV per atom. For the density of states at the Fermi level, the calculation gives 14.97 states/eV per cell.

The structure in POSCAR format:
```
TiNiP
1.0
3.5741 0.0000 0.0000
0.0000 6.0702 0.0357
0.0000 0.0428 10.4239
Ti Ni P
6 6 6
Direct
0.7500 0.6535 0.0792
0.7500 0.0312 0.2896
0.2500 0.3465 0.9208
0.2500 0.9688 0.7104
0.2500 0.4725 0.6160
0.7500 0.5275 0.3840
0.7500 0.0089 0.9127
0.7500 0.1477 0.5436
0.7500 0.6300 0.7968
0.2500 0.9911 0.0873
0.2500 0.8523 0.4564
0.2500 0.3700 0.2032
0.2500 0.7598 0.9128
0.2500 0.2342 0.4161
0.7500 0.7658 0.5839
0.7500 0.2669 0.7513
0.7500 0.2402 0.0872
0.2500 0.7331 0.2487
```

TiNiP | PBE | optimized geometry

Its symmetry is C2/m, No. 12. Its formation energy is -2.5 eV per formula unit. For the uncorrected energy, the calculation gives -7.19 eV per atom. For the density of states at the Fermi level, the calculation gives 4.30 states/eV per cell.

The structure in POSCAR format:
```
TiNiP
1.0
5.7273 0.0000 0.0001
0.0000 3.5816 0.0000
-1.9256 0.0000 8.2944
P Ni Ti
4 4 4
Direct
0.7196 0.5000 0.6773
0.7196 0.0000 0.1773
0.2804 0.0000 0.8227
0.2804 0.5000 0.3227
0.9346 0.5000 0.1296
0.0654 0.0000 0.3704
0.0654 0.5000 0.8704
0.9346 0.0000 0.6296
0.7154 0.5000 0.3890
0.2846 0.5000 0.6110
0.2846 0.0000 0.1110
0.7154 0.0000 0.8890
```